The following is a DFT calculation (PBE) of LiV2Ni after structural relaxation.

Output
The energy comes out at -6.008 eV/atom. Its formation energy from the elements is 0.4754 eV/atom. The energy above the lowest structure with this stoichiometry is 154 meV per atom.

Lattice parameters (Å, degrees): 6.7079 6.7079 4.6994 90.00 90.00 90.00
Closest atoms and distances in Å follow each position.
Space group I-42d (No. 122)
Inequivalent atoms, fractional coordinates:
Li 0.0000 0.0000 0.0000 [4 per cell]  2 Ni 2.35, 4 V 2.56
V 0.2258 0.7500 0.6250 [8 per cell]  2 Ni 2.33, 2 V 2.37, 2 Li 2.56
Ni 0.0000 0.0000 0.5000 [4 per cell]  4 V 2.33, 2 Li 2.35